Record 1
First-principles (PBE) data for a relaxed structure of ZnSb2S4, as listed in Alexandria via LeMat-Bulk.

Cell: 6.642 6.642 8.237 Å, 90.00 90.00 90.00°
Space group I-42m (No. 121)
Inequivalent atoms, fractional coordinates:
1 Zn 0.000 0.000 0.000 [2 per cell]
2 Sb 0.000 0.500 0.250 [4 per cell]
3 S 0.233 0.233 0.893 [8 per cell]

ΔE_f (raw), eV per atom: -0.20
E_tot, eV per atom: -3.92

=====

Record 2
First-principles (PBE) data for a relaxed structure of SrLa3Os, as listed in Alexandria via LeMat-Bulk.

Cell: 16.115 11.573 7.459 Å, 90.00 107.80 90.00°
Space group C2/c (No. 15)
Inequivalent atoms, fractional coordinates:
1 Sr 0.000 0.065 0.250 [4 per cell]
2 Sr 0.000 0.265 0.750 [4 per cell]
3 La 0.115 0.481 0.505 [8 per cell]
4 La 0.186 0.159 0.099 [8 per cell]
5 La 0.198 0.162 0.586 [8 per cell]
6 Os 0.079 0.310 0.230 [8 per cell]

Distance to the lowest polymorph of the same formula, eV/atom: 0.166
E_tot, eV per atom: -5.46
Formation energy from the elements, kJ/mol of formula units: 40

=====

Record 3
First-principles (PBE) data for a relaxed structure of TeHSe, as listed in Alexandria via LeMat-Bulk.

Cell: 15.580 3.830 4.674 Å, 90.00 91.48 90.00°
Space group Cm (No. 8)
Inequivalent atoms, fractional coordinates:
1 Te 0.000 0.000 0.000 [2 per cell]
2 Te 0.235 0.500 0.090 [2 per cell]
3 H 0.213 0.000 0.993 [2 per cell]
4 H 0.435 0.500 0.286 [2 per cell]
5 Se 0.091 0.500 0.362 [2 per cell]
6 Se 0.398 0.000 0.747 [2 per cell]

Distance to the lowest polymorph of the same formula, eV/atom: 0.127
E_tot, eV per atom: -3.14

=====

Record 4
First-principles (PBE) data for a relaxed structure of NaHfO2, as listed in Alexandria via LeMat-Bulk.

Cell: 5.217 5.217 10.511 Å, 90.00 90.00 90.00°
Space group I-42d (No. 122)
Inequivalent atoms, fractional coordinates:
1 Na 0.000 0.000 0.000 [4 per cell]
2 Hf 0.000 0.000 0.500 [4 per cell]
3 O 0.146 0.250 0.625 [8 per cell]

ΔE_f (raw), eV per atom: -2.35
E_tot, eV per atom: -7.65

=====

Record 5
First-principles (PBE) data for a relaxed structure of P2PtRhCl, as listed in Alexandria via LeMat-Bulk.

Cell: 4.551 4.551 4.695 Å, 90.00 90.00 90.00°
Space group P4/mmm (No. 123)
Inequivalent atoms, fractional coordinates:
1 P 0.000 0.500 0.000 [2 per cell]
2 Pt 0.000 0.000 0.500 [1 per cell]
3 Rh 0.500 0.500 0.000 [1 per cell]
4 Cl 0.500 0.500 0.500 [1 per cell]

ΔE_f (raw), eV per atom: 0.75
Distance to the lowest polymorph of the same formula, eV/atom: 0.000
E_tot, eV per atom: -4.46

=====

Record 6
First-principles (PBE) data for a relaxed structure of Sc2TaHg, as listed in Alexandria via LeMat-Bulk.

Cell: 10.917 3.164 5.229 Å, 90.00 110.42 90.00°
Space group Cm (No. 8)
Inequivalent atoms, fractional coordinates:
1 Sc 0.000 0.000 0.000 [2 per cell]
2 Sc 0.217 0.000 0.615 [2 per cell]
3 Ta 0.465 0.000 0.486 [2 per cell]
4 Hg 0.243 0.500 0.116 [2 per cell]

E_tot, eV per atom: -6.20
Formation energy from the elements, kJ/mol of formula units: 3